Entry one
Here is an optimized crystal structure of Nd2LuTi from Alexandria via LeMat-Bulk. Energies are from PBE-GGA.

Computed properties:
**Total magnetization**: 0.0 μB per formula unit
**Mass density**: 7454 kg/m3

```
data_Nd2LuTi
_cell_length_a 3.925
_cell_length_b 3.925
_cell_length_c 7.396
_cell_angle_alpha 90.00
_cell_angle_beta 90.00
_cell_angle_gamma 90.00
_symmetry_space_group_name_H-M 'P 4/m m m'
_symmetry_Int_Tables_number 123
_symmetry_space_group_name_Hall '-P 4 2'
loop_
_atom_site_label
_atom_site_type_symbol
_atom_site_fract_x
_atom_site_fract_y
_atom_site_fract_z
Nd1 Nd 0.000 0.000 0.221
Lu1 Lu 0.500 0.500 0.500
Ti1 Ti 0.500 0.500 0.000
```

=====

Entry two
Here is an optimized crystal structure of Nd2LuTi from Alexandria via LeMat-Bulk. Energies are from PBE-GGA.

Computed properties:
**Total magnetization**: 1.2 μB per formula unit
**Mass density**: 7256 kg/m3

```
data_Nd2LuTi
_cell_length_a 3.3802
_cell_length_b 3.3802
_cell_length_c 35.4755
_cell_angle_alpha 90.00
_cell_angle_beta 90.00
_cell_angle_gamma 120.00
_symmetry_space_group_name_H-M 'R -3 m'
_symmetry_Int_Tables_number 166
_symmetry_space_group_name_Hall '-R 3 2"'
loop_
_atom_site_label
_atom_site_type_symbol
_atom_site_fract_x
_atom_site_fract_y
_atom_site_fract_z
Nd1 Nd 0.0000 0.0000 0.0833
Lu1 Lu 0.0000 0.0000 0.5000
Ti1 Ti 0.0000 0.0000 0.0000
```

=====

The structure with the least stability is entry two.

=====

Entry one
Here is an optimized crystal structure of NdTmLu2 from Alexandria via LeMat-Bulk. Energies are from PBE-GGA.

Computed properties:
**Total magnetization**: 0.0 μB per formula unit
**Mass density**: 8764 kg/m3

```
data_NdTmLu2
_cell_length_a 4.004
_cell_length_b 4.004
_cell_length_c 7.838
_cell_angle_alpha 90.00
_cell_angle_beta 90.00
_cell_angle_gamma 90.00
_symmetry_space_group_name_H-M 'P 4/m m m'
_symmetry_Int_Tables_number 123
_symmetry_space_group_name_Hall '-P 4 2'
loop_
_atom_site_label
_atom_site_type_symbol
_atom_site_fract_x
_atom_site_fract_y
_atom_site_fract_z
Nd1 Nd 0.000 0.000 0.000
Tm1 Tm 0.000 0.000 0.500
Lu1 Lu 0.500 0.500 0.264
```

=====

Entry two
Here is an optimized crystal structure of NdTmLu2 from Alexandria via LeMat-Bulk. Energies are from PBE-GGA.

Computed properties:
**Total magnetization**: 0.0 μB per formula unit
**Mass density**: 8816 kg/m3

```
data_NdTmLu2
_cell_length_a 7.935
_cell_length_b 7.935
_cell_length_c 7.935
_cell_angle_alpha 90.00
_cell_angle_beta 90.00
_cell_angle_gamma 90.00
_symmetry_space_group_name_H-M 'F m -3 m'
_symmetry_Int_Tables_number 225
_symmetry_space_group_name_Hall '-F 4 2 3'
loop_
_atom_site_label
_atom_site_type_symbol
_atom_site_fract_x
_atom_site_fract_y
_atom_site_fract_z
Nd1 Nd 0.000 0.000 0.000
Tm1 Tm 0.000 0.000 0.500
Lu1 Lu 0.250 0.250 0.250
```

=====

The structure with the least stability is entry two.